NiSnSbP2 | PBE-GGA | relaxed

Cell and atoms, written as POSCAR:
```
NiSnSbP2
1.0
5.153 0.000 0.000
0.000 4.629 0.000
0.000 0.000 5.153
Sb Sn P Ni
1 1 2 1
Cartesian
0.000 0.000 0.000 Sb
2.577 2.314 2.577 Sn
0.000 0.000 2.577 P
2.577 0.000 0.000 P
0.000 2.314 0.000 Ni
```

- Raw formation energy: 0.879 eV per atom
- VASP energy: -4.066 eV per atom
- Energy above the most stable polymorph in this dataset: 0 meV/atom

LiHfH3 | PBE-GGA | relaxed

Cell and atoms, written as POSCAR:
```
LiHfH3
1.0
-0.145 2.606 -2.782
-2.588 -2.111 -1.843
-2.799 1.818 1.848
H Hf Li
3 1 1
Cartesian
-1.294 -1.056 -0.921 H
-1.399 0.909 0.924 H
-0.072 1.303 -1.391 H
0.000 0.000 0.000 Hf
-2.766 1.156 -1.389 Li
```

- VASP energy: -4.490 eV per atom
- Energy above the most stable polymorph in this dataset: 337 meV/atom

What is the VASP energy in the first record? -4.066 eV per atom

Among the records above, which one has the lowest energy above the most stable polymorph in this dataset? NiSnSbP2

Which value of VASP energy does entry 1 give? -4.066 eV per atom

Please write out number 1 again, unchanged.
NiSnSbP2 | PBE-GGA | relaxed

Cell and atoms, written as POSCAR:
```
NiSnSbP2
1.0
5.153 0.000 0.000
0.000 4.629 0.000
0.000 0.000 5.153
Sb Sn P Ni
1 1 2 1
Cartesian
0.000 0.000 0.000 Sb
2.577 2.314 2.577 Sn
0.000 0.000 2.577 P
2.577 0.000 0.000 P
0.000 2.314 0.000 Ni
```

- Raw formation energy: 0.879 eV per atom
- VASP energy: -4.066 eV per atom
- Energy above the most stable polymorph in this dataset: 0 meV/atom